Re5Pt4 (meta-GGA SCAN, PBEsol geometry); spin magnetization = 0.000 μB per formula unit; D(E_F) = 0.67 states/eV per atom; VASP energy = -70.876 eV/atom; energy of formation from the pure elements = -1.6 eV per formula unit
1.0
-4.115 4.115 1.941
4.115 -4.115 1.941
4.115 4.115 -1.941
Re Pt
5 4
direct
0.000 0.000 0.000 Re
0.338 0.338 0.676 Re
0.338 0.662 0.000 Re
0.662 0.338 0.000 Re
0.662 0.662 0.324 Re
0.000 0.326 0.326 Pt
0.000 0.674 0.674 Pt
0.326 0.000 0.326 Pt
0.674 0.000 0.674 Pt


RePt2 (meta-GGA SCAN, PBEsol geometry); spin magnetization = 0.000 μB per formula unit; D(E_F) = 0.75 states/eV per atom; VASP energy = -70.660 eV/atom; energy above the most stable polymorph in this dataset = 0.000 eV/atom; energy of formation from the pure elements = -0.5 eV per formula unit
1.0
2.729 0.000 0.000
0.000 2.729 0.000
0.000 0.000 11.870
Re Pt
2 4
direct
0.000 0.000 0.000 Re
0.500 0.500 0.500 Re
0.000 0.000 0.341 Pt
0.000 0.000 0.659 Pt
0.500 0.500 0.159 Pt
0.500 0.500 0.841 Pt


Re3Pt (meta-GGA SCAN, PBEsol geometry); spin magnetization = 0.000 μB per formula unit; D(E_F) = 0.35 states/eV per atom; VASP energy = -71.134 eV/atom; energy of formation from the pure elements = -1.1 eV per formula unit
1.0
4.389 0.000 0.000
0.000 5.527 0.000
0.000 0.000 4.775
Re Pt
6 2
direct
0.250 0.004 0.165 Re
0.250 0.496 0.165 Re
0.250 0.750 0.679 Re
0.750 0.250 0.321 Re
0.750 0.504 0.835 Re
0.750 0.996 0.835 Re
0.250 0.250 0.666 Pt
0.750 0.750 0.334 Pt


Re3Pt (meta-GGA SCAN, PBEsol geometry); spin magnetization = 0.000 μB per formula unit; D(E_F) = 0.85 states/eV per atom; VASP energy = -70.898 eV/atom; energy of formation from the pure elements = -0.1 eV per formula unit
1.0
9.135 0.000 0.000
0.000 2.744 0.000
-0.862 0.000 4.661
Re Pt
6 2
direct
0.000 0.000 0.000 Re
0.245 0.500 0.240 Re
0.255 0.000 0.760 Re
0.500 0.500 0.000 Re
0.745 0.000 0.240 Re
0.755 0.500 0.760 Re
0.000 0.500 0.500 Pt
0.500 0.000 0.500 Pt


Re3Pt (meta-GGA SCAN, PBEsol geometry); spin magnetization = 0.000 μB per formula unit; D(E_F) = 0.34 states/eV per atom; VASP energy = -71.085 eV/atom; energy of formation from the pure elements = -0.9 eV per formula unit
1.0
5.493 0.000 0.000
-2.747 4.757 0.000
0.000 0.000 8.868
Re Pt
12 4
direct
0.000 0.500 0.000 Re
0.000 0.500 0.500 Re
0.171 0.342 0.250 Re
0.171 0.829 0.250 Re
0.342 0.171 0.750 Re
0.500 0.000 0.000 Re
0.500 0.000 0.500 Re
0.500 0.500 0.000 Re
0.500 0.500 0.500 Re
0.658 0.829 0.250 Re
0.829 0.171 0.750 Re
0.829 0.658 0.750 Re
0.000 0.000 0.000 Pt
0.000 0.000 0.500 Pt
0.333 0.667 0.750 Pt
0.667 0.333 0.250 Pt


RePt2 (meta-GGA SCAN, PBEsol geometry); spin magnetization = 0.000 μB per formula unit; D(E_F) = 0.52 states/eV per atom; VASP energy = -70.632 eV/atom; energy above the most stable polymorph in this dataset = 0.028 eV/atom; energy of formation from the pure elements = -0.4 eV per formula unit
1.0
2.741 0.000 0.000
0.000 3.921 0.000
0.000 0.000 8.171
Re Pt
2 4
direct
0.000 0.000 0.000 Re
0.500 0.500 0.500 Re
0.000 0.000 0.337 Pt
0.000 0.000 0.663 Pt
0.500 0.500 0.163 Pt
0.500 0.500 0.837 Pt